1.
{
  "formula": "TlSi3Cl",
  "functional": "PBE",
  "state": "optimized geometry",
  "vol_a3_per_cell": 118.3,
  "energy_ev_per_atom": -3.05,
  "relative_energy_ev_per_atom": 0.000,
  "cell": [[-3.651, -3.235, 0.551], [1.508, -2.386, -4.016], [2.915, -2.818, 2.768]],
  "species": ["Si", "Si", "Tl", "Cl", "Si"],
  "fractional_positions": [[0.000, 0.000, 0.500], [0.000, 0.500, 0.000], [0.500, 0.500, 0.500], [0.000, 0.000, 0.000], [0.500, 0.000, 0.000]]
}


2.
{
  "formula": "MnAsSCl2",
  "functional": "PBE",
  "state": "optimized geometry",
  "vol_a3_per_cell": 122.5,
  "energy_ev_per_atom": -4.12,
  "relative_energy_ev_per_atom": 0.000,
  "cell": [[4.970, 0.000, 0.000], [0.000, 4.970, 0.000], [0.000, 0.000, 4.960]],
  "species": ["Mn", "S", "Cl", "Cl", "As"],
  "fractional_positions": [[0.500, 0.500, 0.500], [0.000, 0.000, 0.500], [0.500, 0.000, 0.000], [0.000, 0.500, 0.000], [0.000, 0.000, 0.000]]
}


3.
{
  "formula": "TcF",
  "functional": "PBE",
  "state": "optimized geometry",
  "vol_a3_per_cell": 114.1,
  "energy_ev_per_atom": -5.53,
  "relative_energy_ev_per_atom": 1.625,
  "cell": [[4.851, 0.000, 0.000], [0.000, 4.851, 0.000], [0.000, 0.000, 4.851]],
  "species": ["F", "Tc", "Tc", "F", "F", "Tc", "Tc", "F"],
  "fractional_positions": [[0.250, 0.250, 0.250], [0.000, 0.000, 0.000], [0.500, 0.000, 0.500], [0.750, 0.250, 0.750], [0.250, 0.750, 0.750], [0.000, 0.500, 0.500], [0.500, 0.500, 0.000], [0.750, 0.750, 0.250]]
}